Entry 1:
# Pm5In

A relaxed structure of Pm5In (PBE, Alexandria via LeMat-Bulk).

Density of states at the Fermi level   1.28 states/eV/atom
Formation enthalpy at 0 K   -0.154 eV/atom
Magnetic moment   0.00 μB/cell
Electronic total energy   -4.569 eV per atom
E above lowest polymorph   0 kJ/mol of formula units

```
data_Pm5In
_chemical_formula_sum 'Pm5 In1'
_symmetry_space_group_name_H-M 'P 1'
_symmetry_Int_Tables_number 1
_cell_length_a 8.138
_cell_length_b 8.138
_cell_length_c 4.976
_cell_angle_alpha 90.00
_cell_angle_beta 90.00
_cell_angle_gamma 144.50
loop_
_symmetry_equiv_pos_as_xyz
'x,y,z'
loop_
_atom_site_label
_atom_site_type_symbol
_atom_site_fract_x
_atom_site_fract_y
_atom_site_fract_z
_atom_site_occupancy
Pm1 Pm 0.000 0.000 0.000 1
Pm2 Pm 0.162 0.838 0.500 1
Pm3 Pm 0.336 0.664 0.000 1
Pm4 Pm 0.664 0.336 0.000 1
Pm5 Pm 0.838 0.162 0.500 1
In1 In 0.500 0.500 0.500 1
```

---

Entry 2:
# Cd2As2Ir

A relaxed structure of Cd2As2Ir (PBE, Alexandria via LeMat-Bulk).

Density of states at the Fermi level   0.52 states/eV/atom
Formation enthalpy at 0 K   0.416 eV/atom
Magnetic moment   0.00 μB/cell
Electronic total energy   -3.582 eV per atom
E above lowest polymorph   183 kJ/mol of formula units

```
data_Cd2As2Ir
_chemical_formula_sum 'Cd2 As2 Ir1'
_symmetry_space_group_name_H-M 'P 1'
_symmetry_Int_Tables_number 1
_cell_length_a 9.033
_cell_length_b 9.033
_cell_length_c 9.033
_cell_angle_alpha 157.65
_cell_angle_beta 157.65
_cell_angle_gamma 31.81
loop_
_symmetry_equiv_pos_as_xyz
'x,y,z'
loop_
_atom_site_label
_atom_site_type_symbol
_atom_site_fract_x
_atom_site_fract_y
_atom_site_fract_z
_atom_site_occupancy
Cd1 Cd 0.085 0.085 0.000 1
Cd2 Cd 0.915 0.915 0.000 1
As1 As 0.250 0.750 0.500 1
As2 As 0.750 0.250 0.500 1
Ir1 Ir 0.500 0.500 0.000 1
```

---

Entry 3:
# NaRhIO5

A relaxed structure of NaRhIO5 (PBE, Alexandria via LeMat-Bulk).

Density of states at the Fermi level   0.44 states/eV/atom
Formation energy without anion corrections   -0.592 eV/atom
Magnetic moment   0.00 μB/cell
Electronic total energy   -4.969 eV per atom

```
data_NaRhIO5
_chemical_formula_sum 'Na2 Rh2 I2 O10'
_symmetry_space_group_name_H-M 'P 1'
_symmetry_Int_Tables_number 1
_cell_length_a 5.762
_cell_length_b 5.762
_cell_length_c 7.205
_cell_angle_alpha 99.27
_cell_angle_beta 99.27
_cell_angle_gamma 108.20
loop_
_symmetry_equiv_pos_as_xyz
'x,y,z'
loop_
_atom_site_label
_atom_site_type_symbol
_atom_site_fract_x
_atom_site_fract_y
_atom_site_fract_z
_atom_site_occupancy
Na1 Na 0.177 0.823 0.750 1
Na2 Na 0.823 0.177 0.250 1
Rh1 Rh 0.500 0.500 0.000 1
Rh2 Rh 0.500 0.500 0.500 1
I1 I 0.173 0.827 0.250 1
I2 I 0.827 0.173 0.750 1
O1 O 0.132 0.290 0.969 1
O2 O 0.181 0.574 0.390 1
O3 O 0.290 0.132 0.469 1
O4 O 0.421 0.579 0.750 1
O5 O 0.426 0.819 0.110 1
O6 O 0.574 0.181 0.890 1
O7 O 0.579 0.421 0.250 1
O8 O 0.710 0.868 0.531 1
O9 O 0.819 0.426 0.610 1
O10 O 0.868 0.710 0.031 1
```

---

Entry 4:
# GeIrPt2

A relaxed structure of GeIrPt2 (PBE, Alexandria via LeMat-Bulk).

Density of states at the Fermi level   0.77 states/eV/atom
Formation enthalpy at 0 K   0.472 eV/atom
Magnetic moment   0.00 μB/cell
Electronic total energy   -5.918 eV per atom

```
data_GeIrPt2
_chemical_formula_sum 'Ge2 Ir2 Pt4'
_symmetry_space_group_name_H-M 'P 1'
_symmetry_Int_Tables_number 1
_cell_length_a 7.603
_cell_length_b 7.603
_cell_length_c 7.603
_cell_angle_alpha 141.00
_cell_angle_beta 141.00
_cell_angle_gamma 56.34
loop_
_symmetry_equiv_pos_as_xyz
'x,y,z'
loop_
_atom_site_label
_atom_site_type_symbol
_atom_site_fract_x
_atom_site_fract_y
_atom_site_fract_z
_atom_site_occupancy
Ge1 Ge 0.000 0.000 0.000 1
Ge2 Ge 0.750 0.250 0.500 1
Ir1 Ir 0.250 0.750 0.500 1
Ir2 Ir 0.500 0.500 0.000 1
Pt1 Pt 0.119 0.625 0.994 1
Pt2 Pt 0.375 0.369 0.494 1
Pt3 Pt 0.631 0.125 0.006 1
Pt4 Pt 0.875 0.881 0.506 1
```

---

Entry 5:
# Pu4FeIr3

A relaxed structure of Pu4FeIr3 (PBE, Alexandria via LeMat-Bulk).

Density of states at the Fermi level   3.80 states/eV/atom
Formation enthalpy at 0 K   -0.343 eV/atom
Magnetic moment   5.39 μB/cell
Electronic total energy   -11.890 eV per atom

```
data_Pu4FeIr3
_chemical_formula_sum 'Pu8 Fe2 Ir6'
_symmetry_space_group_name_H-M 'P 1'
_symmetry_Int_Tables_number 1
_cell_length_a 8.001
_cell_length_b 8.001
_cell_length_c 8.001
_cell_angle_alpha 97.84
_cell_angle_beta 95.80
_cell_angle_gamma 139.68
loop_
_symmetry_equiv_pos_as_xyz
'x,y,z'
loop_
_atom_site_label
_atom_site_type_symbol
_atom_site_fract_x
_atom_site_fract_y
_atom_site_fract_z
_atom_site_occupancy
Pu1 Pu 0.085 0.769 0.854 1
Pu2 Pu 0.235 0.089 0.325 1
Pu3 Pu 0.265 0.589 0.854 1
Pu4 Pu 0.415 0.269 0.684 1
Pu5 Pu 0.585 0.731 0.316 1
Pu6 Pu 0.735 0.411 0.146 1
Pu7 Pu 0.765 0.911 0.675 1
Pu8 Pu 0.915 0.231 0.146 1
Fe1 Fe 0.250 0.750 0.500 1
Fe2 Fe 0.750 0.250 0.500 1
Ir1 Ir 0.150 0.349 0.499 1
Ir2 Ir 0.250 0.250 0.000 1
Ir3 Ir 0.350 0.849 0.199 1
Ir4 Ir 0.650 0.151 0.801 1
Ir5 Ir 0.750 0.750 0.000 1
Ir6 Ir 0.850 0.651 0.501 1
```

---

Entry 6:
# Na2LiPb6

A relaxed structure of Na2LiPb6 (PBE, Alexandria via LeMat-Bulk).

Density of states at the Fermi level   0.35 states/eV/atom
Formation enthalpy at 0 K   -0.090 eV/atom
Magnetic moment   0.00 μB/cell
Electronic total energy   -3.068 eV per atom
E above lowest polymorph   16 kJ/mol of formula units

```
data_Na2LiPb6
_chemical_formula_sum 'Na2 Li1 Pb6'
_symmetry_space_group_name_H-M 'P 1'
_symmetry_Int_Tables_number 1
_cell_length_a 6.789
_cell_length_b 6.789
_cell_length_c 6.865
_cell_angle_alpha 90.00
_cell_angle_beta 90.00
_cell_angle_gamma 120.00
loop_
_symmetry_equiv_pos_as_xyz
'x,y,z'
loop_
_atom_site_label
_atom_site_type_symbol
_atom_site_fract_x
_atom_site_fract_y
_atom_site_fract_z
_atom_site_occupancy
Na1 Na 0.333 0.667 0.349 1
Na2 Na 0.667 0.333 0.651 1
Li1 Li 0.000 0.000 0.500 1
Pb1 Pb 0.170 0.339 0.809 1
Pb2 Pb 0.170 0.830 0.809 1
Pb3 Pb 0.339 0.170 0.191 1
Pb4 Pb 0.661 0.830 0.809 1
Pb5 Pb 0.830 0.170 0.191 1
Pb6 Pb 0.830 0.661 0.191 1
```

---

Entry 7:
# LaEr6Tm

A relaxed structure of LaEr6Tm (PBE, Alexandria via LeMat-Bulk).

Density of states at the Fermi level   1.69 states/eV/atom
Formation enthalpy at 0 K   0.142 eV/atom
Magnetic moment   0.00 μB/cell
Electronic total energy   -4.455 eV per atom

```
data_LaEr6Tm
_chemical_formula_sum 'La1 Er6 Tm1'
_symmetry_space_group_name_H-M 'P 1'
_symmetry_Int_Tables_number 1
_cell_length_a 6.361
_cell_length_b 6.361
_cell_length_c 6.498
_cell_angle_alpha 95.92
_cell_angle_beta 95.92
_cell_angle_gamma 92.23
loop_
_symmetry_equiv_pos_as_xyz
'x,y,z'
loop_
_atom_site_label
_atom_site_type_symbol
_atom_site_fract_x
_atom_site_fract_y
_atom_site_fract_z
_atom_site_occupancy
La1 La 0.000 0.000 0.000 1
Er1 Er 0.155 0.516 0.301 1
Er2 Er 0.351 0.351 0.802 1
Er3 Er 0.484 0.845 0.699 1
Er4 Er 0.516 0.155 0.301 1
Er5 Er 0.649 0.649 0.198 1
Er6 Er 0.845 0.484 0.699 1
Tm1 Tm 0.000 0.000 0.500 1
```

---

Entry 8:
# CuNiMo2

A relaxed structure of CuNiMo2 (PBE, Alexandria via LeMat-Bulk).

Density of states at the Fermi level   1.42 states/eV/atom
Formation enthalpy at 0 K   0.325 eV/atom
Magnetic moment   0.00 μB/cell
Electronic total energy   -7.559 eV per atom

```
data_CuNiMo2
_chemical_formula_sum 'Cu1 Ni1 Mo2'
_symmetry_space_group_name_H-M 'P 1'
_symmetry_Int_Tables_number 1
_cell_length_a 4.295
_cell_length_b 4.295
_cell_length_c 4.295
_cell_angle_alpha 60.00
_cell_angle_beta 60.00
_cell_angle_gamma 60.00
loop_
_symmetry_equiv_pos_as_xyz
'x,y,z'
loop_
_atom_site_label
_atom_site_type_symbol
_atom_site_fract_x
_atom_site_fract_y
_atom_site_fract_z
_atom_site_occupancy
Cu1 Cu 0.000 0.000 0.000 1
Ni1 Ni 0.250 0.250 0.250 1
Mo1 Mo 0.500 0.500 0.500 1
Mo2 Mo 0.750 0.750 0.750 1
```